Density functional theory data (PBE) for a geometry-optimized Tb5ZnGa2 structure.

abc: 7.531 7.531 14.777
angles: 90.00 90.00 90.00
Space group I4/mcm (No. 140)
One atom of each set of equivalent atoms:
Tb 0.000 0.000 0.000 (multiplicity 4)
Tb 0.172 0.328 0.147 (multiplicity 16)
Zn 0.000 0.000 0.250 (multiplicity 4)
Ga 0.120 0.380 0.500 (multiplicity 8)

Properties
energy above the most stable polymorph in this dataset = 0.000 eV per formula unit
total magnetic moment = 0.000 μB/atom
density of states at the Fermi level = 0.79 states/eV/atom
formation enthalpy at 0 K = -0.38 eV per atom